Computed, not measured: a relaxed Zr5Sb3As crystal at the GGA-PBE level of DFT.

Calculated values
Total DFT energy (no corrections) in eV/cell: -134.48
Symmetry: P6_3/mcm
Magnetization in μB per formula unit: 0.00

POSCAR file:
```
Zr5Sb3As
1.0
8.668 0.000 0.000
-4.334 7.507 0.000
0.000 0.000 5.945
Zr Sb As
10 6 2
direct
0.000 0.264 0.250
0.000 0.736 0.750
0.264 0.000 0.250
0.264 0.264 0.750
0.333 0.667 0.000
0.333 0.667 0.500
0.667 0.333 0.000
0.667 0.333 0.500
0.736 0.000 0.750
0.736 0.736 0.250
0.000 0.395 0.750
0.000 0.605 0.250
0.395 0.000 0.750
0.395 0.395 0.250
0.605 0.000 0.250
0.605 0.605 0.750
0.000 0.000 0.000
0.000 0.000 0.500
```

Computed, not measured: a relaxed ZrSb2As crystal at the GGA-PBE level of DFT.

Calculated values
Total DFT energy (no corrections) in eV/cell: -22.24
Symmetry: P2/m
Magnetization in μB per formula unit: 0.00

POSCAR file:
```
ZrSb2As
1.0
3.915 0.000 0.000
0.000 3.827 0.000
-0.951 0.000 6.182
Zr Sb As
1 2 1
direct
0.000 0.000 0.000
0.439 0.500 0.758
0.561 0.500 0.242
0.000 0.000 0.500
```

Computed, not measured: a relaxed ZrSbAs3 crystal at the GGA-PBE level of DFT.

Calculated values
Total DFT energy (no corrections) in eV/cell: -24.96
Symmetry: Pm-3m
Energy above the most stable polymorph in this dataset in meV per atom: 0
Magnetization in μB per formula unit: 0.00

POSCAR file:
```
ZrSbAs3
1.0
5.188 0.000 0.000
0.000 5.188 0.000
0.000 0.000 5.188
Zr Sb As
1 1 3
direct
0.000 0.000 0.000
0.500 0.500 0.500
0.000 0.000 0.500
0.000 0.500 0.000
0.500 0.000 0.000
```

Computed, not measured: a relaxed ZrSb2As crystal at the GGA-PBE level of DFT.

Calculated values
Total DFT energy (no corrections) in eV/cell: -21.69
Symmetry: Pmmm
Magnetization in μB per formula unit: 0.00

POSCAR file:
```
ZrSb2As
1.0
3.698 0.000 0.000
0.000 4.960 0.000
0.000 0.000 5.035
Zr Sb As
1 2 1
direct
0.000 0.000 0.000
0.000 0.500 0.500
0.500 0.000 0.500
0.500 0.500 0.000
```

Computed, not measured: a relaxed ZrSb2As crystal at the GGA-PBE level of DFT.

Calculated values
Total DFT energy (no corrections) in eV/cell: -41.00
Symmetry: I-42d
Magnetization in μB per formula unit: 0.86

POSCAR file:
```
ZrSb2As
1.0
-3.297 3.297 6.312
3.297 -3.297 6.312
3.297 3.297 -6.312
Zr Sb As
2 4 2
direct
0.000 0.000 0.000
0.750 0.250 0.500
0.133 0.625 0.008
0.375 0.383 0.508
0.617 0.125 0.992
0.875 0.867 0.492
0.250 0.750 0.500
0.500 0.500 0.000
```

Computed, not measured: a relaxed ZrSb2As crystal at the GGA-PBE level of DFT.

Calculated values
Total DFT energy (no corrections) in eV/cell: -22.78
Symmetry: Pmm2
Magnetization in μB per formula unit: 0.00

POSCAR file:
```
ZrSb2As
1.0
3.528 0.000 0.000
0.000 3.679 0.000
0.000 0.000 7.302
Zr Sb As
1 2 1
direct
0.000 0.000 0.000
0.000 0.000 0.431
0.500 0.500 0.744
0.500 0.500 0.146
```

Computed, not measured: a relaxed Zr6Sb3As crystal at the GGA-PBE level of DFT.

Calculated values
Total DFT energy (no corrections) in eV/cell: -146.74
Symmetry: Cmc2_1
Magnetization in μB per formula unit: 0.00

POSCAR file:
```
Zr6Sb3As
1.0
5.315 -6.838 0.000
5.315 6.838 0.000
0.000 0.000 6.851
Zr Sb As
12 6 2
direct
0.025 0.975 0.500
0.079 0.586 0.547
0.244 0.756 0.120
0.281 0.402 0.078
0.402 0.281 0.578
0.414 0.921 0.547
0.586 0.079 0.047
0.598 0.719 0.078
0.719 0.598 0.578
0.756 0.244 0.620
0.921 0.414 0.047
0.975 0.025 0.000
0.094 0.287 0.732
0.287 0.094 0.232
0.405 0.595 0.420
0.595 0.405 0.920
0.713 0.906 0.732
0.906 0.713 0.232
0.152 0.848 0.783
0.848 0.152 0.283
```

Computed, not measured: a relaxed ZrSb2As crystal at the GGA-PBE level of DFT.

Calculated values
Total DFT energy (no corrections) in eV/cell: -22.11
Symmetry: C2/m
Magnetization in μB per formula unit: 0.00

POSCAR file:
```
ZrSb2As
1.0
5.479 -1.845 0.000
5.479 1.845 0.000
-0.344 0.000 4.692
Zr Sb As
1 2 1
direct
0.000 0.000 0.000
0.277 0.277 0.764
0.723 0.723 0.236
0.500 0.500 0.500
```

Computed, not measured: a relaxed ZrSb3As crystal at the GGA-PBE level of DFT.

Calculated values
Total DFT energy (no corrections) in eV/cell: -22.64
Symmetry: Pm-3m
Energy above the most stable polymorph in this dataset in meV per atom: 0
Magnetization in μB per formula unit: 1.63

POSCAR file:
```
ZrSb3As
1.0
5.525 0.000 0.000
0.000 5.525 0.000
0.000 0.000 5.525
Zr Sb As
1 3 1
direct
0.000 0.000 0.000
0.000 0.000 0.500
0.000 0.500 0.000
0.500 0.000 0.000
0.500 0.500 0.500
```

Computed, not measured: a relaxed ZrSb2As crystal at the GGA-PBE level of DFT.

Calculated values
Total DFT energy (no corrections) in eV/cell: -21.23
Symmetry: F-43m
Magnetization in μB per formula unit: 0.00

POSCAR file:
```
ZrSb2As
1.0
0.000 3.604 3.604
3.604 0.000 3.604
3.604 3.604 0.000
Zr Sb As
1 2 1
direct
0.000 0.000 0.000
0.500 0.500 0.500
0.750 0.750 0.750
0.250 0.250 0.250
```

Computed, not measured: a relaxed ZrSb2As crystal at the GGA-PBE level of DFT.

Calculated values
Total DFT energy (no corrections) in eV/cell: -22.23
Symmetry: Immm
Magnetization in μB per formula unit: 0.00

POSCAR file:
```
ZrSb2As
1.0
-1.905 2.471 4.777
1.905 -2.471 4.777
1.905 2.471 -4.777
Zr Sb As
1 2 1
direct
0.000 0.000 0.000
0.272 0.772 0.500
0.728 0.228 0.500
0.500 0.500 0.000
```

Computed, not measured: a relaxed ZrSb2As crystal at the GGA-PBE level of DFT.

Calculated values
Total DFT energy (no corrections) in eV/cell: -21.55
Symmetry: C2/m
Magnetization in μB per formula unit: 0.00

POSCAR file:
```
ZrSb2As
1.0
3.082 -4.704 0.000
3.082 4.704 0.000
-1.085 0.000 3.218
Zr Sb As
1 2 1
direct
0.000 0.000 0.000
0.000 0.500 0.500
0.500 0.000 0.500
0.500 0.500 0.000
```